(1)
Density functional theory data (PBE) for a geometry-optimized PRuPb structure.

Unit cell a=3.331 b=3.331 c=6.113 alpha=90.00 beta=90.00 gamma=120.00
Atoms (fractional coordinates):
1 Ru 0.333 0.667 0.723
2 P 0.000 0.000 0.930
3 Pb 0.667 0.333 0.346

Properties
Theoretical density, g cm⁻³: 9.59
SG: P3m1
Calculated volume, Å³ per cell: 58.7
DOS(E_F), states/eV/cell: 2.5
Crystal system: trigonal
Energy of formation from the pure elements, meV per atom: 6


(2)
Density functional theory data (PBE) for a geometry-optimized CsMgPb5 structure.

Unit cell a=4.710 b=4.710 c=11.754 alpha=90.00 beta=90.00 gamma=90.00
Atoms (fractional coordinates):
1 Pb 0.000 0.500 0.214
2 Pb 0.500 0.000 0.214
3 Pb 0.500 0.000 0.786
4 Mg 0.500 0.500 0.000
5 Pb 0.000 0.000 0.000
6 Pb 0.000 0.500 0.786
7 Cs 0.000 0.000 0.500

Properties
Theoretical density, g cm⁻³: 7.60
SG: P4/mmm
Calculated volume, Å³ per cell: 260.8
DOS(E_F), states/eV/cell: 4.3
Crystal system: tetragonal
Energy of formation from the pure elements, meV per atom: -29


(3)
Density functional theory data (PBE) for a geometry-optimized DyEr2TmSe4 structure.

Unit cell a=3.988 b=7.003 c=7.058 alpha=71.19 beta=90.00 gamma=90.00
Atoms (fractional coordinates):
1 Se 0.000 0.248 0.253
2 Er 0.500 0.000 0.500
3 Er 0.000 0.000 0.000
4 Se 0.000 0.752 0.747
5 Se 0.500 0.750 0.253
6 Tm 0.000 0.500 0.500
7 Se 0.500 0.250 0.747
8 Dy 0.500 0.500 0.000

Properties
Theoretical density, g cm⁻³: 8.74
ΔE_f (raw), kJ/mol of atoms: -164
SG: P2/m
Calculated volume, Å³ per cell: 186.6
DOS(E_F), states/eV/cell: 4.6
Crystal system: monoclinic


(4)
Density functional theory data (PBE) for a geometry-optimized GaNiS2 structure.

Unit cell a=3.674 b=3.674 c=5.406 alpha=90.00 beta=90.00 gamma=90.00
Last column: magnetic moment on the atom in μB.
Atoms (fractional coordinates):
1 Ni 0.500 0.500 0.000  0.51
2 S 0.000 0.500 0.232  0.04
3 Ga 0.000 0.000 0.500  0.00
4 S 0.500 0.000 0.768  0.04

Properties
Theoretical density, g cm⁻³: 4.38
ΔE_f (raw), kJ/mol of atoms: -47
SG: P-4m2
Calculated volume, Å³ per cell: 73.0
DOS(E_F), states/eV/cell: 2.8
Crystal system: tetragonal


(5)
Density functional theory data (PBE) for a geometry-optimized ScP2Br structure.

Unit cell a=4.776 b=4.776 c=4.251 alpha=75.72 beta=75.72 gamma=111.29
Atoms (fractional coordinates):
1 Br 0.000 0.500 0.500
2 Sc 0.500 0.000 0.500
3 P 0.500 0.500 0.000
4 P 0.000 0.000 0.000

Properties
Theoretical density, g cm⁻³: 3.82
ΔE_f (raw), kJ/mol of atoms: -15
E above lowest polymorph, meV per atom: 681
SG: C2/m
Calculated volume, Å³ per cell: 81.3
DOS(E_F), states/eV/cell: 2.7
Crystal system: monoclinic


(6)
Density functional theory data (PBE) for a geometry-optimized TlCuNi2H structure.

Unit cell a=3.847 b=3.847 c=3.883 alpha=90.00 beta=90.00 gamma=90.00
Atoms (fractional coordinates):
1 Ni 0.500 0.000 0.000
2 Cu 0.000 0.000 0.500
3 Tl 0.500 0.500 0.500
4 Ni 0.000 0.500 0.000
5 H 0.000 0.000 0.000

Properties
Theoretical density, g cm⁻³: 11.16
E, eV/atom: -4.153
SG: P4/mmm
Calculated volume, Å³ per cell: 57.5
DOS(E_F), states/eV/cell: 1.8
Crystal system: tetragonal


(7)
Density functional theory data (PBE) for a geometry-optimized TbPr9Nd2 structure.

Unit cell a=5.226 b=5.226 c=15.669 alpha=90.00 beta=90.00 gamma=90.00
Atoms (fractional coordinates):
1 Pr 0.500 0.500 0.332
2 Pr 0.500 0.000 0.165
3 Tb 0.000 0.000 0.000
4 Nd 0.000 0.000 0.668
5 Pr 0.000 0.500 0.165
6 Pr 0.000 0.500 0.835
7 Pr 0.000 0.500 0.500
8 Pr 0.500 0.000 0.500
9 Pr 0.500 0.500 0.668
10 Pr 0.500 0.000 0.835
11 Pr 0.500 0.500 0.000
12 Nd 0.000 0.000 0.332

Properties
Theoretical density, g cm⁻³: 6.66
SG: P4/mmm
Calculated volume, Å³ per cell: 427.9
DOS(E_F), states/eV/cell: 20.7
Crystal system: tetragonal
Energy of formation from the pure elements, meV per atom: 13


(8)
Density functional theory data (PBE) for a geometry-optimized ZrSc3Hg structure.

Unit cell a=5.240 b=5.240 c=5.240 alpha=90.00 beta=90.00 gamma=90.00
Last column: magnetic moment on the atom in μB.
Atoms (fractional coordinates):
1 Sc 0.000 0.000 0.500  0.06
2 Hg 0.000 0.000 0.000  -0.04
3 Sc 0.000 0.500 0.000  -0.01
4 Zr 0.500 0.500 0.500  0.68
5 Sc 0.500 0.000 0.000  0.01

Properties
Theoretical density, g cm⁻³: 4.92
E above lowest polymorph, meV per atom: 682
SG: Pm-3m
Calculated volume, Å³ per cell: 143.9
DOS(E_F), states/eV/cell: 6.0
Crystal system: cubic
Energy of formation from the pure elements, meV per atom: 574


(9)
Density functional theory data (PBE) for a geometry-optimized ZrSn2I structure.

Unit cell a=5.362 b=5.362 c=5.362 alpha=60.00 beta=60.00 gamma=60.00
Atoms (fractional coordinates):
1 Sn 0.750 0.750 0.750
2 Sn 0.250 0.250 0.250
3 Zr 0.000 0.000 0.000
4 I 0.500 0.500 0.500

Properties
Theoretical density, g cm⁻³: 6.94
ΔE_f (raw), kJ/mol of atoms: 39
E above lowest polymorph, meV per atom: 202
SG: Fm-3m
Calculated volume, Å³ per cell: 109.0
DOS(E_F), states/eV/cell: 3.8
Crystal system: cubic


(10)
Density functional theory data (PBE) for a geometry-optimized La6Sb5Br structure.

Unit cell a=7.949 b=7.968 c=7.962 alpha=59.98 beta=80.40 gamma=70.54
Atoms (fractional coordinates):
1 Sb 0.500 0.500 0.000
2 Sb 0.500 0.165 0.671
3 Sb 0.500 0.835 0.329
4 Sb 0.000 0.333 0.334
5 Sb 0.000 0.667 0.666
6 La 0.254 0.256 0.000
7 La 0.746 0.744 0.000
8 La 0.254 0.915 0.659
9 La 0.254 0.575 0.341
10 La 0.746 0.085 0.341
11 La 0.746 0.425 0.659
12 Br 0.000 0.000 0.000

Properties
Theoretical density, g cm⁻³: 6.14
ΔE_f (raw), kJ/mol of atoms: -129
SG: C2/m
Calculated volume, Å³ per cell: 411.7
DOS(E_F), states/eV/cell: 3.7
Crystal system: monoclinic


(11)
Density functional theory data (PBE) for a geometry-optimized NdIn6Hg structure.

Unit cell a=4.424 b=6.924 c=6.924 alpha=90.03 beta=90.00 gamma=90.00
Atoms (fractional coordinates):
1 In 0.000 0.261 0.739
2 In 0.500 0.000 0.500
3 In 0.000 0.261 0.261
4 In 0.000 0.739 0.739
5 Hg 0.500 0.500 0.500
6 Nd 0.500 0.000 0.000
7 In 0.000 0.739 0.261
8 In 0.500 0.500 0.000

Properties
Theoretical density, g cm⁻³: 8.09
SG: P4/mmm
Calculated volume, Å³ per cell: 212.1
DOS(E_F), states/eV/cell: 5.6
Crystal system: tetragonal
Energy of formation from the pure elements, meV per atom: -160


(12)
Density functional theory data (PBE) for a geometry-optimized ZnP structure.

Unit cell a=3.582 b=3.582 c=3.582 alpha=60.00 beta=60.00 gamma=60.00
Atoms (fractional coordinates):
1 P 0.000 0.000 0.000
2 Zn 0.500 0.500 0.500

Properties
Theoretical density, g cm⁻³: 4.93
SG: Fm-3m
Calculated volume, Å³ per cell: 32.5
DOS(E_F), states/eV/cell: 1.3
Crystal system: cubic
Energy of formation from the pure elements, meV per atom: 172